Crystalline AsP2 at its relaxed geometry. Source: Alexandria via LeMat-Bulk, functional PBE.

Summary:
The total magnetization comes out at 0.00 μB/f.u. The density is 3.04 Mg/m³. As for the total energy: -5.0461 eV per atom. For the formation energy from the elements, the calculation gives 0.11 eV per atom.

a b c (Å): 14.062 3.147 7.996
angles (deg): 90.00 122.36 90.00
Fractional positions:
As (0.106, 0.000, 0.086)
As (0.394, 0.500, 0.914)
As (0.606, 0.500, 0.086)
As (0.894, 0.000, 0.914)
P (0.014, 0.500, 0.373)
P (0.114, 0.000, 0.797)
P (0.386, 0.500, 0.203)
P (0.486, 0.000, 0.627)
P (0.514, 0.000, 0.373)
P (0.614, 0.500, 0.797)
P (0.886, 0.000, 0.203)
P (0.986, 0.500, 0.627)